Record 1
A plane-wave DFT calculation with PBE-GGA was carried out for an optimized crystal structure of CoRe2Rh.

abc: 3.1308 3.1308 5.6513
angles: 90.00 90.00 90.00
Last column: nearest neighbours and their distance in Å.
Fractional coordinates of all 4 atoms:
Co  0.0000  0.0000  0.0000  5 Re 2.49-2.66, 4 Rh 2.63
Re  0.0000  0.0000  0.4711  1 Co 2.66, 4 Re 2.69, 4 Rh 2.71
Re  0.5000  0.5000  0.2019  4 Co 2.49, 1 Rh 2.56, 4 Re 2.69
Rh  0.5000  0.5000  0.7488  5 Re 2.56-2.71, 4 Co 2.63

Results
**Volume**: 55.4 Å³ per cell
**DOS at the Fermi energy**: 5.4 states/eV per cell
**Formation enthalpy at 0 K**: 169 meV/atom



Record 2
A plane-wave DFT calculation with PBE-GGA was carried out for an optimized crystal structure of DyAsAu4.

abc: 5.5809 5.5809 5.5809
angles: 60.00 60.00 60.00
Last column: nearest neighbours and their distance in Å.
Fractional coordinates of all 6 atoms:
Dy  0.0000  0.0000  0.0000  12 Au 3.27, 4 As 3.42
As  0.7500  0.7500  0.7500  12 Au 3.27, 4 Dy 3.42
Au  0.3750  0.3750  0.3750  6 Au 2.79
Au  0.3750  0.3750  0.8751  6 Au 2.79
Au  0.3750  0.8751  0.3750  6 Au 2.79
Au  0.8751  0.3750  0.3750  6 Au 2.79

Results
**Volume**: 122.9 Å³ per cell
**DOS at the Fermi energy**: 0.7 states/eV per cell
**Formation enthalpy at 0 K**: -364 meV/atom



Record 3
A plane-wave DFT calculation with PBE-GGA was carried out for an optimized crystal structure of LiBeSi2.

abc: 3.6911 3.6911 7.3076
angles: 90.00 90.00 90.00
Last column: nearest neighbours and their distance in Å.
Fractional coordinates of all 8 atoms:
Li  0.0000  0.0000  0.0000  8 Si 2.60, 4 Be 2.61
Li  0.5000  0.5000  0.5000  8 Si 2.60, 4 Be 2.61
Be  0.0000  0.0000  0.5000  8 Si 2.60, 4 Li 2.61
Be  0.5000  0.5000  0.0000  8 Si 2.60, 4 Li 2.61
Si  0.0000  0.5000  0.2500  4 Li 2.60, 4 Be 2.60, 4 Si 2.61
Si  0.0000  0.5000  0.7500  4 Li 2.60, 4 Be 2.60, 4 Si 2.61
Si  0.5000  0.0000  0.2500  4 Li 2.60, 4 Be 2.60, 4 Si 2.61
Si  0.5000  0.0000  0.7500  4 Li 2.60, 4 Be 2.60, 4 Si 2.61

Results
**Raw formation energy**: 0.66 eV/f.u.
**Volume**: 99.6 Å³ per cell
**DOS at the Fermi energy**: 2.2 states/eV per cell



Record 4
A plane-wave DFT calculation with PBE-GGA was carried out for an optimized crystal structure of Y2ZrBr.

abc: 3.5359 3.4981 9.3708
angles: 90.00 90.11 90.00
Last column: nearest neighbours and their distance in Å.
Fractional coordinates of all 4 atoms:
Y  0.0009  0.0000  0.2361  2 Br 3.03, 4 Zr 3.33
Y  0.9991  0.0000  0.7639  2 Br 3.03, 4 Zr 3.33
Zr  0.5000  0.5000  0.0000  8 Y 3.33, 4 Zr 3.50-3.54
Br  0.0000  0.5000  0.5000  4 Y 3.03

Results
**Raw formation energy**: -1.83 eV/f.u.
**Volume**: 115.9 Å³ per cell
**DOS at the Fermi energy**: 4.7 states/eV per cell



Record 5
A plane-wave DFT calculation with PBE-GGA was carried out for an optimized crystal structure of CsPm2Mo2N6.

abc: 6.8451 6.8451 7.1571
angles: 117.75 117.75 59.62
Last column: nearest neighbours and their distance in Å.
Fractional coordinates of all 11 atoms:
Cs  0.0000  0.0000  0.0000  8 N 3.45-3.68, 2 Mo 3.80
Pm  0.3245  0.3245  0.7094  4 N 2.36-2.54
Pm  0.6755  0.6755  0.2906  4 N 2.36-2.54
Mo  0.3781  0.3781  0.3078  3 N 1.83-1.85
Mo  0.6219  0.6219  0.6922  3 N 1.83-1.85
N  0.0902  0.5216  0.3581  1 Mo 1.83
N  0.4233  0.4233  0.0974  1 Mo 1.85
N  0.4784  0.9098  0.6419  1 Mo 1.83
N  0.5216  0.0902  0.3581  1 Mo 1.83
N  0.5767  0.5767  0.9026  1 Mo 1.85
N  0.9098  0.4784  0.6419  1 Mo 1.83

Results
**Raw formation energy**: -5.49 eV/f.u.
**Volume**: 244.1 Å³ per cell
**DOS at the Fermi energy**: 4.6 states/eV per cell